1.
# AsPdO3 (PBE-GGA, optimized geometry)
data_AsPdO3
_cell_length_a 3.767
_cell_length_b 3.767
_cell_length_c 3.767
_cell_angle_alpha 90.00
_cell_angle_beta 90.00
_cell_angle_gamma 90.00
_space_group_name_H-M_alt 'P m -3 m'
_space_group_IT_number 221
_space_group_name_Hall '-P 4 2 3'
loop_
_atom_site_label
_atom_site_type_symbol
_atom_site_fract_x
_atom_site_fract_y
_atom_site_fract_z
_atom_site_occupancy
As1 As 0.000 0.000 0.000 1
Pd1 Pd 0.500 0.500 0.500 1
O1 O 0.000 0.000 0.500 1
# Formation energy without anion corrections ... -4.9 kcal/mol of atoms
# V ... 53.4 Å³/cell
# Energy ... -0.18945 hartree per atom

***

2.
# GdAlCuAg (PBE-GGA, optimized geometry)
data_GdAlCuAg
_cell_length_a 6.725
_cell_length_b 6.725
_cell_length_c 6.725
_cell_angle_alpha 90.00
_cell_angle_beta 90.00
_cell_angle_gamma 90.00
_space_group_name_H-M_alt 'F -4 3 m'
_space_group_IT_number 216
_space_group_name_Hall 'F -4 2 3'
loop_
_atom_site_label
_atom_site_type_symbol
_atom_site_fract_x
_atom_site_fract_y
_atom_site_fract_z
_atom_site_occupancy
Gd1 Gd 0.000 0.000 0.000 1
Al1 Al 0.000 0.000 0.500 1
Cu1 Cu 0.250 0.250 0.250 1
Ag1 Ag 0.250 0.250 0.750 1
# Energy of formation ... -26.9 kJ/mol of atoms
# V ... 304.1 Å³/cell
# Energy ... -0.23784 hartree per atom